# Na3VCu

A relaxed structure of Na3VCu (PBE, Alexandria).

Output
Energy above the lowest structure with this stoichiometry, eV/f.u.: 1.58
D(E_F), states/eV/f.u.: 9.2
Total DFT energy (no corrections), eV per cell: -10.89
DFT formation energy, eV/atom: 1.26

a = 5.697 Å, b = 5.697 Å, c = 5.697 Å
α = 90.00°, β = 90.00°, γ = 90.00°
Positions (direct):
1 Na 0.000 0.000 0.500
2 Na 0.000 0.500 0.000
3 Na 0.500 0.000 0.000
4 V 0.000 0.000 0.000
5 Cu 0.500 0.500 0.500